Material: Sb2TeAu
Method: DFT, GGA-PBE
State: relaxed

```
data_Sb2TeAu
_chemical_formula_sum 'Sb2 Te1 Au1'
_symmetry_space_group_name_H-M 'P 1'
_symmetry_Int_Tables_number 1
_cell_length_a 3.199
_cell_length_b 3.199
_cell_length_c 10.351
_cell_angle_alpha 90.00
_cell_angle_beta 90.00
_cell_angle_gamma 90.00
loop_
_symmetry_equiv_pos_as_xyz
'x,y,z'
loop_
_atom_site_label
_atom_site_type_symbol
_atom_site_fract_x
_atom_site_fract_y
_atom_site_fract_z
Sb1 Sb 0.000 0.000 0.201
Sb2 Sb 0.000 0.000 0.799
Te1 Te 0.500 0.500 0.500
Au1 Au 0.500 0.500 0.000
```

Computed properties:
* energy: -14.0 eV/cell
* space group: No. 123
* ΔE_f (raw): 0.65 eV/f.u.